(1)
This record from Alexandria via LeMat-Bulk describes a geometry-optimized CrAsS3 structure. The functional is PBE.

Values from the calculation:
Uncorrected formation energy in eV/atom: 0.35
Crystal system: cubic
Symmetry: Pm-3m (221)

```
CrAsS3
1.0
4.516 0.000 0.000
0.000 4.516 0.000
0.000 0.000 4.516
Cr As S
1 1 3
direct
0.000 0.000 0.000
0.500 0.500 0.500
0.000 0.000 0.500
0.000 0.500 0.000
0.500 0.000 0.000
```

---

(2)
This record from Alexandria via LeMat-Bulk describes a geometry-optimized Ca2Rh structure. The functional is PBE.

Values from the calculation:
Crystal system: trigonal
Symmetry: P-3m1 (164)
DFT formation energy in eV/atom: -0.16

```
Ca2Rh
1.0
4.148 0.000 0.000
-2.074 3.592 0.000
0.000 0.000 6.252
Ca Rh
2 1
direct
0.333 0.667 0.231
0.667 0.333 0.769
0.000 0.000 0.000
```

---

(3)
This record from Alexandria via LeMat-Bulk describes a geometry-optimized Y5Tc4 structure. The functional is PBE.

Values from the calculation:
Crystal system: hexagonal
Symmetry: P6_3/mcm (193)
DFT formation energy in eV/atom: 0.25

```
Y5Tc4
1.0
8.527 0.000 0.000
-4.263 7.385 0.000
0.000 0.000 6.234
Y Tc
10 8
direct
0.000 0.278 0.250
0.000 0.722 0.750
0.278 0.000 0.250
0.278 0.278 0.750
0.333 0.667 0.000
0.333 0.667 0.500
0.667 0.333 0.000
0.667 0.333 0.500
0.722 0.000 0.750
0.722 0.722 0.250
0.000 0.000 0.000
0.000 0.000 0.500
0.000 0.373 0.750
0.000 0.627 0.250
0.373 0.000 0.750
0.373 0.373 0.250
0.627 0.000 0.250
0.627 0.627 0.750
```

---

(4)
This record from Alexandria via LeMat-Bulk describes a geometry-optimized VSiPdPb2 structure. The functional is PBE.

Values from the calculation:
Uncorrected formation energy in eV/atom: 0.96
Crystal system: tetragonal
Symmetry: P4/mmm (123)

```
VSiPdPb2
1.0
5.345 0.000 0.000
0.000 5.345 0.000
0.000 0.000 4.494
V Si Pd Pb
1 1 1 2
direct
0.000 0.000 0.000
0.500 0.500 0.500
0.500 0.500 0.000
0.000 0.500 0.500
0.500 0.000 0.500
```

---

(5)
This record from Alexandria via LeMat-Bulk describes a geometry-optimized VNiRuW structure. The functional is PBE.

Values from the calculation:
Crystal system: cubic
Symmetry: F-43m (216)
DFT formation energy in eV/atom: 0.07

```
VNiRuW
1.0
0.000 3.007 3.007
3.007 0.000 3.007
3.007 3.007 0.000
V Ni Ru W
1 1 1 1
direct
0.000 0.000 0.000
0.500 0.500 0.500
0.750 0.750 0.750
0.250 0.250 0.250
```

---

(6)
This record from Alexandria via LeMat-Bulk describes a geometry-optimized LiAsPdPb structure. The functional is PBE.

Values from the calculation:
Crystal system: trigonal
Symmetry: R3m (160)
DFT formation energy in eV/atom: -0.27

```
LiAsPdPb
1.0
2.147 1.239 5.225
-2.147 1.239 5.225
0.000 -2.479 5.225
Li As Pd Pb
1 1 1 1
direct
0.000 0.000 0.000
0.653 0.653 0.653
0.264 0.264 0.264
0.470 0.470 0.470
```